Entry 1:
Below is TbY3Mg12 after structural relaxation, with properties calculated at the GGA-PBE level.

extended XYZ file:
```
16
Lattice="4.6339 0.0000 0.0000 0.0000 4.6339 0.0000 0.0000 0.0000 19.0114" Properties=species:S:1:pos:R:3 pbc="T T T"
Tb 0.0000 0.0000 0.0000
Y 0.0000 0.0000 4.7582
Y 0.0000 0.0000 9.5057
Y 0.0000 0.0000 14.2532
Mg 2.3170 2.3170 0.0000
Mg 2.3170 2.3170 4.7594
Mg 2.3170 2.3170 9.5057
Mg 2.3170 2.3170 14.2520
Mg 2.3170 0.0000 2.3802
Mg 2.3170 0.0000 7.1325
Mg 2.3170 0.0000 11.8789
Mg 2.3170 0.0000 16.6313
Mg 0.0000 2.3170 2.3802
Mg 0.0000 2.3170 7.1325
Mg 0.0000 2.3170 11.8789
Mg 0.0000 2.3170 16.6313
```

Output
As for the symmetry: P4/mmm. The value obtained for the total magnetization is 0.00 μB/f.u. The value obtained for the formation energy is -121 kJ/mol of formula units.



Entry 2:
Below is TbYMg4 after structural relaxation, with properties calculated at the GGA-PBE level.

extended XYZ file:
```
6
Lattice="-2.1803 4.7795 -2.9885 -5.5793 -0.1727 -2.3172 -4.3947 3.3484 2.4500" Properties=species:S:1:pos:R:3 pbc="T T T"
Y 0.0000 0.0000 0.0000
Mg -5.3990 3.2977 -3.0100
Mg -4.8067 5.0585 -0.6261
Mg -7.5967 4.9721 -1.7849
Mg -6.5064 2.5821 -0.2905
Tb -3.0386 1.9888 -0.7139
```

Output
As for the symmetry: F-43m. The value obtained for the total magnetization is 0.00 μB/f.u. The value obtained for the formation energy is -48 kJ/mol of formula units.



Entry 3:
Below is Tb12Y5Mg2 after structural relaxation, with properties calculated at the GGA-PBE level.

extended XYZ file:
```
19
Lattice="9.0623 0.0000 0.0000 -4.5311 7.8119 1.1566 0.0000 -1.4077 8.3138" Properties=species:S:1:pos:R:3 pbc="T T T"
Tb 4.5311 6.3051 1.8656
Tb -2.8511 4.3819 7.1092
Tb 2.8511 4.3819 7.1092
Tb -1.7640 5.3937 3.6046
Tb 1.7640 5.3937 3.6046
Tb 0.0000 5.9918 6.5329
Tb 4.5311 0.4124 2.9375
Tb 6.2952 1.0105 5.8658
Tb 2.7671 1.0105 5.8658
Tb 7.3823 2.0223 2.3611
Tb 1.6800 2.0223 2.3611
Tb 0.0000 0.0991 7.6047
Y 0.0000 2.8583 5.3264
Y 0.0000 3.2881 8.9076
Y 0.0000 -0.7038 4.1569
Y 4.5311 3.1161 0.5627
Y 4.5311 3.5459 4.1439
Mg 6.0710 0.0000 0.0000
Mg 2.9913 0.0000 0.0000
```

Output
As for the symmetry: C2/m. The value obtained for the total magnetization is 0.00 μB/f.u. The value obtained for the formation energy is 178 kJ/mol of formula units.



Entry 4:
Below is TbY6Mg2 after structural relaxation, with properties calculated at the GGA-PBE level.

extended XYZ file:
```
9
Lattice="-2.3159 0.3530 2.9349 -6.0786 -1.4575 -2.2188 -1.5333 -11.4997 2.5756" Properties=species:S:1:pos:R:3 pbc="T T T"
Tb 0.0000 0.0000 0.0000
Y -4.8926 -1.9241 1.1756
Y -5.0352 -10.6802 2.1161
Y -6.4186 -7.7556 0.6727
Y -7.0088 -4.5889 2.2286
Y -2.9189 -8.0154 1.0631
Y -3.5091 -4.8487 2.6190
Mg -1.6701 -2.4187 1.3754
Mg -8.2576 -10.1856 1.9163
```

Output
As for the symmetry: C2/m. The value obtained for the total magnetization is 0.00 μB/f.u. The value obtained for the formation energy is -25 kJ/mol of formula units.



Entry 5:
Below is Tb3Y3Mg after structural relaxation, with properties calculated at the GGA-PBE level.

extended XYZ file:
```
14
Lattice="-2.3280 -3.5636 3.6804 7.7716 0.4665 5.3675 -7.0960 6.0919 1.4101" Properties=species:S:1:pos:R:3 pbc="T T T"
Tb -1.6372 2.6553 7.9880
Tb -3.0094 -1.1806 3.4059
Tb -7.0126 3.1590 5.0757
Tb -0.0151 0.3395 2.4700
Tb 1.3571 4.1754 7.0522
Tb 5.3602 -0.1642 5.3824
Y -0.9585 3.1681 4.6122
Y -3.1650 2.0591 2.1427
Y -4.0448 4.7489 4.1907
Y -0.6939 -0.1733 5.8459
Y 1.5126 0.9357 8.3154
Y 2.3924 -1.7542 6.2674
Mg -3.8873 1.5451 5.4898
Mg 2.2349 1.4497 4.9682
```

Output
As for the symmetry: P6_3/m. The value obtained for the total magnetization is 0.54 μB/f.u. The value obtained for the formation energy is 9 kJ/mol of formula units.



Entry 6:
Below is Tb4YMg7 after structural relaxation, with properties calculated at the GGA-PBE level.

extended XYZ file:
```
12
Lattice="5.3048 0.0000 0.0000 -2.6524 4.5941 0.0000 0.0000 0.0000 13.2607" Properties=species:S:1:pos:R:3 pbc="T T T"
Tb 0.0000 3.0627 12.2096
Tb 2.6524 1.5314 1.0510
Tb 0.0000 3.0627 8.7936
Tb 2.6524 1.5314 4.4670
Y 0.0000 0.0000 6.6303
Mg 0.0000 0.0000 0.0000
Mg 0.0000 3.0627 5.5394
Mg 2.6524 1.5314 7.7213
Mg 0.0000 3.0627 2.4187
Mg 2.6524 1.5314 10.8419
Mg 0.0000 0.0000 10.1071
Mg 0.0000 0.0000 3.1536
```

Output
As for the symmetry: P-3m1. The value obtained for the total magnetization is 0.00 μB/f.u. The value obtained for the formation energy is -35 kJ/mol of formula units.



Entry 7:
Below is TbYMg17 after structural relaxation, with properties calculated at the GGA-PBE level.

extended XYZ file:
```
19
Lattice="7.7158 0.0727 0.9916 0.8815 7.6656 0.9916 0.0808 0.0727 7.7788" Properties=species:S:1:pos:R:3 pbc="T T T"
Tb 2.8515 2.5666 3.2077
Y 5.8268 5.2446 6.5547
Mg 3.2794 7.7379 6.7099
Mg 5.7218 2.4498 8.7700
Mg 8.3538 5.4333 4.0430
Mg 3.0364 5.4333 8.7700
Mg 8.0392 2.4498 6.7099
Mg 6.2795 7.7379 4.0430
Mg 3.4956 6.4923 3.9323
Mg 3.1057 2.7954 7.2369
Mg 6.8231 2.7954 3.9323
Mg 5.1809 1.3211 5.8280
Mg 5.5703 5.0138 2.5272
Mg 1.8571 5.0138 5.8280
Mg 8.2370 3.9786 9.2659
Mg 8.6373 7.7743 5.8730
Mg 4.8206 7.7743 9.2659
Mg 7.8173 7.0362 8.7938
Mg 0.8640 0.7777 0.9719
```

Output
As for the symmetry: R3m. The value obtained for the total magnetization is 0.00 μB/f.u. The value obtained for the formation energy is -38 kJ/mol of formula units.



Entry 8:
Below is Tb12Y2Mg after structural relaxation, with properties calculated at the GGA-PBE level.

extended XYZ file:
```
30
Lattice="-6.3387 -0.9468 1.8789 3.7784 -5.4797 -0.5501 5.0979 -1.3057 23.6699" Properties=species:S:1:pos:R:3 pbc="T T T"
Tb 2.7292 -3.5528 19.6869
Tb 2.0938 -7.0550 20.1965
Tb 3.3750 -5.3964 22.8913
Tb 5.5660 -5.4771 20.1468
Tb -0.9083 -6.6109 9.0278
Tb 2.0302 -4.5217 3.6374
Tb -1.1534 -3.4681 14.9243
Tb 0.5528 -3.4787 8.3200
Tb 4.1835 -1.9718 22.3402
Tb -2.1175 -5.5491 2.7717
Tb 1.8427 -2.8924 13.6622
Tb -1.3675 -1.9977 11.2889
Tb 3.2649 -1.0403 16.0143
Tb 1.9751 -1.6266 10.6721
Tb -0.3657 -2.5472 1.9941
Tb 0.4699 -4.7391 11.3905
Tb 0.7876 -6.2065 14.2726
Tb 1.0886 -0.9662 4.6473
Tb 4.0121 -5.5728 13.8535
Tb 2.1658 -4.3346 16.6352
Tb 0.7791 -3.1455 22.3714
Tb -0.8363 -3.8906 5.4665
Tb 3.5841 -4.4260 9.9306
Tb -3.3000 -2.3203 3.8418
Y -1.8289 -0.8713 7.2652
Y -2.9347 -3.9498 8.4041
Y -0.6921 -4.5945 18.9480
Y 0.4138 -1.5161 17.8091
Mg 0.8129 -5.6817 0.7318
Mg 6.7833 -4.3170 23.0523
```

Output
As for the symmetry: C2/m. The value obtained for the total magnetization is 0.00 μB/f.u. The value obtained for the formation energy is 143 kJ/mol of formula units.



Entry 9:
Below is Tb14YMg after structural relaxation, with properties calculated at the GGA-PBE level.

extended XYZ file:
```
16
Lattice="-4.3201 4.9999 1.9364 -2.9322 -3.0720 -5.4201 -5.1501 -7.0839 6.8012" Properties=species:S:1:pos:R:3 pbc="T T T"
Tb -6.0361 -3.5384 0.7835
Tb -6.6458 0.0074 4.0151
Tb -5.8386 2.4286 -1.8916
Tb -8.4404 -1.2160 1.3819
Tb -1.7296 1.3363 0.0822
Tb -4.2384 -2.3330 3.4003
Tb -9.4856 -4.6975 1.6100
Tb -6.8388 -1.0568 -1.8854
Tb -5.2680 -5.8187 3.6359
Tb -2.6211 -2.1780 0.1405
Tb -7.0169 -6.9420 0.9418
Tb -4.4839 -3.4579 -2.4033
Tb -7.6578 -3.4581 4.2042
Tb -5.0571 0.1193 0.7696
Y -3.4620 0.0093 -2.6119
Mg -4.0992 3.7147 0.7652
```

Output
As for the symmetry: Amm2. The value obtained for the total magnetization is 0.00 μB/f.u. The value obtained for the formation energy is 79 kJ/mol of formula units.



Entry 10:
Below is Tb4Y8Mg after structural relaxation, with properties calculated at the GGA-PBE level.

extended XYZ file:
```
13
Lattice="6.3387 -0.0004 -3.4198 -4.0917 5.9273 -0.0005 1.4063 0.9716 10.1911" Properties=species:S:1:pos:R:3 pbc="T T T"
Tb 0.0000 0.0000 0.0000
Tb -2.0458 2.9636 -0.0002
Tb 1.1235 2.9634 -1.7101
Tb 3.1694 -0.0002 -1.7099
Y 0.9274 5.0162 1.7183
Y 2.7260 1.8822 5.0526
Y 2.5985 1.7939 1.2514
Y 6.2027 1.9630 3.9124
Y 1.0549 5.1046 5.5195
Y 4.0342 5.1044 3.9122
Y -0.3808 1.7941 2.8588
Y -2.5493 4.9355 2.8585
Mg -1.3427 3.4495 5.0953
```

Output
As for the symmetry: R-3m. The value obtained for the total magnetization is 0.00 μB/f.u. The value obtained for the formation energy is 226 kJ/mol of formula units.



Entry 11:
Below is Tb3YMg8 after structural relaxation, with properties calculated at the GGA-PBE level.

extended XYZ file:
```
12
Lattice="-0.3959 2.2433 5.6354 -2.8355 -5.1877 -1.4122 7.9653 -5.0536 2.5714" Properties=species:S:1:pos:R:3 pbc="T T T"
Tb 2.2566 -2.4325 4.4050
Tb -0.6947 -0.5600 3.4522
Tb 7.4536 -4.7289 2.4062
Y 4.4956 -2.8523 1.4513
Mg 1.9603 -5.2375 2.2227
Mg -2.0220 -2.7109 0.9371
Mg 5.7487 -2.7027 4.7579
Mg 4.3675 -5.2296 4.0700
Mg 4.1746 -4.1369 6.8150
Mg 1.0062 -2.5870 1.1006
Mg -0.4457 -5.2436 0.3774
Mg -0.6485 -4.0948 3.2632
```

Output
As for the symmetry: P3m1. The value obtained for the total magnetization is 0.00 μB/f.u. The value obtained for the formation energy is -89 kJ/mol of formula units.



Entry 12:
Below is TbYMg after structural relaxation, with properties calculated at the GGA-PBE level.

extended XYZ file:
```
6
Lattice="-1.0195 -3.2364 1.5154 4.0872 -2.5121 -2.6154 5.7060 3.1121 5.9278" Properties=species:S:1:pos:R:3 pbc="T T T"
Y 5.2746 0.5928 4.8195
Y 3.4992 -3.2292 0.0082
Mg 1.7187 -0.4240 0.2393
Mg 7.0550 -2.2124 4.5885
Tb 2.8746 -1.5666 3.1431
Tb 5.8991 -1.0698 1.6847
```

Output
As for the symmetry: P2_1/m. The value obtained for the total magnetization is 0.00 μB/f.u. The value obtained for the formation energy is -23 kJ/mol of formula units.